Computed, not measured: a relaxed structure of Sr3Ti2VO9 at the GGA+U level of DFT.

The structure in extended XYZ format:
```
15
Lattice="-5.439 -1.113 -0.487 3.659 -2.424 -3.435 0.666 -5.160 4.352" Properties=species:S:1:pos:R:3 pbc="T T T"
O -3.482 -4.759 1.913
O -0.890 -1.769 -1.961
O -2.720 -0.556 -0.243
O 2.367 -3.938 -1.483
O -0.355 -4.495 -1.727
O -1.651 -5.972 0.194
O 1.829 -1.212 -1.717
O -0.760 -4.202 2.157
O 0.536 -2.725 0.236
Ti 0.738 -2.855 -1.720
Ti -1.852 -5.842 2.150
Sr 1.070 -5.424 0.447
Sr 0.000 0.000 0.000
Sr -2.184 -3.272 -0.017
V 0.333 -2.580 2.176
```

Computed properties:
Volume: 12.16 Å³ per atom
Calculated total energy: -116.72 eV/f.u.
Space group: P-3m1 (164)